[1]
# Cs2TlCd2 (PBE-GGA, optimized geometry)
# **Calculated formation energy**: 20 meV per atom
# **Crystal system**: tetragonal
# **M_tot**: 0.00 Bohr magnetons per cell
data_Cs2TlCd2
_chemical_formula_sum 'Cs4 Tl2 Cd4'
_cell_length_a 8.453
_cell_length_b 8.453
_cell_length_c 6.188
_cell_angle_alpha 90.00
_cell_angle_beta 90.00
_cell_angle_gamma 90.00
_symmetry_space_group_name_H-M 'P 4/m b m'
_symmetry_Int_Tables_number 127
_symmetry_space_group_name_Hall '-P 4 2ab'
loop_
_atom_site_label
_atom_site_fract_x
_atom_site_fract_y
_atom_site_fract_z
_atom_site_occupancy
Cs1 0.178 0.322 0.000 1
Tl1 0.000 0.000 0.500 1
Cd1 0.130 0.630 0.500 1



[2]
# CsTlCd2 (PBE-GGA, optimized geometry)
# **Calculated formation energy**: -52 meV per atom
# **Crystal system**: monoclinic
# **M_tot**: 0.00 Bohr magnetons per cell
data_CsTlCd2
_chemical_formula_sum 'Cs2 Tl2 Cd4'
_cell_length_a 5.072
_cell_length_b 8.582
_cell_length_c 7.850
_cell_angle_alpha 90.00
_cell_angle_beta 108.85
_cell_angle_gamma 90.00
_symmetry_space_group_name_H-M 'P 1 21/m 1'
_symmetry_Int_Tables_number 11
loop_
_symmetry_equiv_pos_as_xyz
'x,y,z'
'-x,-y,-z'
'-x,y+1/2,-z'
'x,-y+1/2,z'
loop_
_atom_site_label
_atom_site_fract_x
_atom_site_fract_y
_atom_site_fract_z
_atom_site_occupancy
Cs1 0.054 0.250 0.107 1
Tl1 0.349 0.250 0.697 1
Cd1 0.246 0.580 0.493 1



[3]
# CsTlCd (PBE-GGA, optimized geometry)
# **Calculated formation energy**: -7 meV per atom
# **Crystal system**: monoclinic
# **M_tot**: 0.00 Bohr magnetons per cell
data_CsTlCd
_chemical_formula_sum 'Cs4 Tl4 Cd4'
_cell_length_a 8.202
_cell_length_b 8.622
_cell_length_c 7.381
_cell_angle_alpha 90.00
_cell_angle_beta 104.81
_cell_angle_gamma 90.00
_symmetry_space_group_name_H-M 'C 1 m 1'
_symmetry_Int_Tables_number 8
loop_
_symmetry_equiv_pos_as_xyz
'x,y,z'
'x,-y,z'
'x+1/2,y+1/2,z'
'x+1/2,-y+1/2,z'
loop_
_atom_site_label
_atom_site_fract_x
_atom_site_fract_y
_atom_site_fract_z
_atom_site_occupancy
Cs1 0.000 0.241 0.000 1
Tl1 0.351 0.311 0.454 1
Cd1 0.068 0.500 0.585 1
Cd2 0.198 0.000 0.604 1



Number 1: final energy -11.6 eV/cell. Number 2: final energy -10.5 eV/cell. Number 3: final energy -16.6 eV/cell.